Record 1
Compound: MgNi3
Source: Alexandria
Functional: PBE-GGA
Structure: optimized geometry

a b c (Å): 4.3507 4.3507 2.6558
angles (deg): 90.00 90.00 105.91
Last column: nearest neighbours and their distance in Å.
Sites, in units of the cell vectors:
Ni (0.0000, 0.5000, 0.5000)  4 Mg 2.55, 8 Ni 2.55-2.66
Ni (0.5000, 0.5000, 0.0000)  10 Ni 2.55-2.66, 2 Mg 2.62
Ni (0.5000, 0.0000, 0.5000)  8 Ni 2.55-2.66, 4 Mg 2.55
Mg (0.0000, 0.0000, 0.0000)  10 Ni 2.55-2.62, 2 Mg 2.66

Results
theoretical density	6883	kg/m3
DFT total energy	-19.07	eV per cell

---

Record 2
Compound: Mg2Ni
Source: Alexandria
Functional: PBE-GGA
Structure: optimized geometry

a b c (Å): 2.9921 2.9921 6.6817
angles (deg): 90.00 90.00 120.00
Last column: nearest neighbours and their distance in Å.
Sites, in units of the cell vectors:
Mg (0.6667, 0.3333, 0.2938)  3 Ni 2.62
Mg (0.3333, 0.6667, 0.7062)  3 Ni 2.62
Ni (0.0000, 0.0000, 0.0000)  6 Mg 2.62

Results
theoretical density	3439	kg/m3
DFT total energy	-8.81	eV per cell

---

Record 3
Compound: MgNi3
Source: Alexandria
Functional: PBE-GGA
Structure: optimized geometry

a b c (Å): 4.5359 4.5359 4.5359
angles (deg): 90.00 90.00 90.00
Last column: nearest neighbours and their distance in Å.
Sites, in units of the cell vectors:
Ni (0.0000, 0.0000, 0.5000)  2 Mg 2.27
Ni (0.5000, 0.0000, 0.0000)  2 Mg 2.27
Ni (0.0000, 0.5000, 0.0000)  2 Mg 2.27
Mg (0.0000, 0.0000, 0.0000)  6 Ni 2.27

Results
theoretical density	3566	kg/m3
DFT total energy	-11.62	eV per cell

---

Record 4
Compound: MgNi3
Source: Alexandria
Functional: PBE-GGA
Structure: optimized geometry

a b c (Å): 4.4041 4.4041 5.8698
angles (deg): 74.75 74.75 107.39
Last column: nearest neighbours and their distance in Å.
Sites, in units of the cell vectors:
Ni (0.0000, 0.5000, 0.0000)  8 Ni 2.52-2.63, 4 Mg 2.61
Ni (0.7500, 0.2500, 0.5000)  4 Mg 2.52, 8 Ni 2.61-2.63
Ni (0.5000, 0.0000, 0.0000)  8 Ni 2.52-2.63, 4 Mg 2.61
Ni (0.8839, 0.8839, 0.2321)  9 Ni 2.44-2.61, 3 Mg 2.61-2.63
Ni (0.2500, 0.7500, 0.5000)  4 Mg 2.52, 8 Ni 2.61-2.63
Ni (0.1161, 0.1161, 0.7679)  9 Ni 2.44-2.61, 3 Mg 2.61-2.63
Mg (0.3666, 0.3666, 0.2669)  11 Ni 2.52-2.63, 1 Mg 2.81
Mg (0.6334, 0.6334, 0.7331)  11 Ni 2.52-2.63, 1 Mg 2.81

Results
theoretical density	6837	kg/m3
DFT total energy	-38.34	eV per cell

---

Record 5
Compound: Mg3Ni2
Source: Alexandria
Functional: PBE-GGA
Structure: optimized geometry

a b c (Å): 4.3305 4.3305 5.2668
angles (deg): 90.00 90.00 120.00
Last column: nearest neighbours and their distance in Å.
Sites, in units of the cell vectors:
Mg (0.6667, 0.3333, 0.6473)  5 Ni 2.54-2.76
Mg (0.3333, 0.6667, 0.3527)  5 Ni 2.54-2.76
Mg (0.0000, 0.0000, 0.0000)  6 Ni 2.59
Ni (0.3333, 0.6667, 0.8704)  8 Mg 2.54-2.76
Ni (0.6667, 0.3333, 0.1296)  8 Mg 2.54-2.76

Results
theoretical density	3694	kg/m3
energy relative to the lowest polymorph listed for this composition	0.10	eV per formula unit

---

Record 6
Compound: Mg5Ni
Source: Alexandria
Functional: PBE-GGA
Structure: optimized geometry

a b c (Å): 5.5205 5.5205 5.0614
angles (deg): 90.00 90.00 120.00
Last column: nearest neighbours and their distance in Å.
Sites, in units of the cell vectors:
Mg (0.5000, 0.5000, 0.5000)  8 Mg 2.76-2.99
Mg (0.3333, 0.6667, 0.0000)  9 Mg 2.99-3.19, 3 Ni 3.19
Mg (0.6667, 0.3333, 0.0000)  9 Mg 2.99-3.19, 3 Ni 3.19
Mg (0.0000, 0.5000, 0.5000)  8 Mg 2.76-2.99
Mg (0.5000, 0.0000, 0.5000)  8 Mg 2.76-2.99
Ni (0.0000, 0.0000, 0.0000)  6 Mg 3.19

Results
theoretical density	2240	kg/m3
energy relative to the lowest polymorph listed for this composition	2.89	eV per formula unit